(1)
The following is a DFT calculation (GGA-PBE) of crystalline BeAsHBr2 at its relaxed geometry.

SG	P4/mmm (123)
energy above the most stable polymorph in this dataset	0.1939	eV per atom

a = 5.087 Å, b = 5.087 Å, c = 3.513 Å
α = 90.00°, β = 90.00°, γ = 90.00°
Sites, in units of the cell vectors:
1 Be 0.500 0.500 0.500
2 As 0.000 0.000 0.500
3 Br 0.000 0.500 0.000
4 Br 0.500 0.000 0.000
5 H 0.000 0.000 0.000

---

(2)
The following is a DFT calculation (GGA-PBE) of crystalline RbGa3Sn3 at its relaxed geometry.

SG	R-3 (148)
energy above the most stable polymorph in this dataset	0.1019	eV per atom

a = 8.102 Å, b = 8.102 Å, c = 9.752 Å
α = 65.46°, β = 65.46°, γ = 60.00°
Sites, in units of the cell vectors:
1 Rb 0.333 0.333 0.000
2 Rb 0.667 0.667 0.000
3 Ga 0.442 0.773 0.677
4 Ga 0.773 0.107 0.677
5 Ga 0.107 0.442 0.677
6 Ga 0.893 0.558 0.323
7 Ga 0.227 0.893 0.323
8 Ga 0.558 0.227 0.323
9 Sn 0.221 0.561 0.327
10 Sn 0.891 0.221 0.327
11 Sn 0.561 0.891 0.327
12 Sn 0.439 0.109 0.673
13 Sn 0.109 0.779 0.673
14 Sn 0.779 0.439 0.673

---

(3)
The following is a DFT calculation (GGA-PBE) of crystalline NaRu at its relaxed geometry.

SG	F-43m (216)

a = 6.477 Å, b = 6.477 Å, c = 6.477 Å
α = 90.00°, β = 90.00°, γ = 90.00°
Sites, in units of the cell vectors:
1 Na 0.250 0.250 0.250
2 Na 0.250 0.750 0.750
3 Na 0.750 0.250 0.750
4 Na 0.750 0.750 0.250
5 Ru 0.000 0.000 0.000
6 Ru 0.000 0.500 0.500
7 Ru 0.500 0.000 0.500
8 Ru 0.500 0.500 0.000

---

D(E_F), respectively: 2.97; 7.78; 26.78 states/eV per cell.
DFT total energy, respectively: -2.252; -3.110; -2.691 eV per atom.